! LuGaCuPd, relaxed, DFT PBE; values from VASP
&SYSTEM
  ibrav = 0, nat = 4, ntyp = 4
/
ATOMIC_SPECIES
Lu 174.97 Lu.upf
Ga 69.72 Ga.upf
Cu 63.55 Cu.upf
Pd 106.42 Pd.upf
ATOMIC_POSITIONS crystal
Lu 0.000 0.000 0.000
Ga 0.500 0.500 0.500
Cu 0.750 0.750 0.750
Pd 0.250 0.250 0.250
CELL_PARAMETERS angstrom
0.000 3.235 3.235
3.235 0.000 3.235
3.235 3.235 0.000
! formation energy: -0.577 eV per atom
! total moment: 0.000 μB per atom
! crystal system: cubic

***

! PmLuGaCu, relaxed, DFT PBE; values from VASP
&SYSTEM
  ibrav = 0, nat = 4, ntyp = 4
/
ATOMIC_SPECIES
Pm 145.00 Pm.upf
Lu 174.97 Lu.upf
Ga 69.72 Ga.upf
Cu 63.55 Cu.upf
ATOMIC_POSITIONS crystal
Pm 0.000 0.000 0.000
Lu 0.500 0.500 0.500
Ga 0.750 0.750 0.750
Cu 0.250 0.250 0.250
CELL_PARAMETERS angstrom
0.000 3.549 3.549
3.549 0.000 3.549
3.549 3.549 0.000
! formation energy: -0.390 eV per atom
! total moment: 0.000 μB per atom
! crystal system: cubic

***

! PrLuGaCu, relaxed, DFT PBE; values from VASP
&SYSTEM
  ibrav = 0, nat = 4, ntyp = 4
/
ATOMIC_SPECIES
Pr 140.91 Pr.upf
Lu 174.97 Lu.upf
Ga 69.72 Ga.upf
Cu 63.55 Cu.upf
ATOMIC_POSITIONS crystal
Pr 0.000 0.000 0.000
Lu 0.500 0.500 0.500
Ga 0.750 0.750 0.750
Cu 0.250 0.250 0.250
CELL_PARAMETERS angstrom
0.000 3.579 3.579
3.579 0.000 3.579
3.579 3.579 0.000
! formation energy: -0.362 eV per atom
! total moment: 0.001 μB per atom
! crystal system: cubic